Below is a relaxed CrCdO crystal, with properties calculated at the GGA+U level.

Calculated volume in Å³ per cell: 207
Energy above the lowest structure with this stoichiometry in meV per atom: 0.0

CIF file:
```
data_CrCdO
_chemical_formula_sum 'Cr4 Cd4 O4'
_cell_length_a 20.557
_cell_length_b 2.974
_cell_length_c 3.424
_cell_angle_alpha 90.00
_cell_angle_beta 97.73
_cell_angle_gamma 90.00
_symmetry_space_group_name_H-M 'C 1 m 1'
_symmetry_Int_Tables_number 8
_symmetry_space_group_name_Hall 'C -2y'
loop_
_atom_site_label
_atom_site_type_symbol
_atom_site_fract_x
_atom_site_fract_y
_atom_site_fract_z
_atom_site_occupancy
Cr1 Cr 0.000 0.000 0.000 1
Cr2 Cr 0.138 0.000 0.889 1
Cd1 Cd 0.276 0.500 0.430 1
Cd2 Cd 0.399 0.000 0.387 1
O1 O 0.066 0.500 0.968 1
O2 O 0.201 0.500 0.853 1
```